# Pm2NdHoTh (GGA-PBE, relaxed)
# Total magnetic moment, μB per atom: 0.000
# E_form, eV per atom: 0.31
# Uncorrected energy, eV per cell: -49.41
data_Pm2NdHoTh
_cell_length_a 8.6295
_cell_length_b 6.4576
_cell_length_c 6.4028
_cell_angle_alpha 90.00
_cell_angle_beta 97.70
_cell_angle_gamma 90.00
_space_group_name_H-M_alt 'P 1 2/c 1'
_space_group_IT_number 13
loop_
_space_group_symop_operation_xyz
'x,y,z'
'-x,-y,-z'
'-x,y,-z+1/2'
'x,-y,z+1/2'
loop_
_atom_site_label
_atom_site_fract_x
_atom_site_fract_y
_atom_site_fract_z
Pm1 0.1855 0.1910 0.2934
Nd1 0.5000 0.5000 0.0000
Ho1 0.0000 0.3268 0.7500
Th1 0.5000 0.0483 0.7500

=====

# CePmN2 (GGA-PBE, relaxed)
# Total magnetic moment, μB per atom: 0.095
# Energy relative to the elements, uncorrected, eV/atom: -1.283
# Uncorrected energy, eV per cell: -97.41
# E above lowest polymorph, kJ/mol of atoms: 19.95
data_CePmN2
_cell_length_a 3.5372
_cell_length_b 3.5372
_cell_length_c 18.1946
_cell_angle_alpha 90.00
_cell_angle_beta 90.00
_cell_angle_gamma 120.00
_space_group_name_H-M_alt 'R 3 m'
_space_group_IT_number 160
_space_group_name_Hall 'R 3 -2"'
loop_
_atom_site_label
_atom_site_fract_x
_atom_site_fract_y
_atom_site_fract_z
Ce1 0.0000 0.0000 0.0000
Pm1 0.0000 0.0000 0.8274
N1 0.0000 0.0000 0.4135
N2 0.0000 0.0000 0.5908

=====

# Li2GaHPt (GGA-PBE, relaxed)
# Total magnetic moment, μB per atom: 0.000
# Uncorrected energy, eV per cell: -18.63
# E above lowest polymorph, kJ/mol of atoms: 0.00
data_Li2GaHPt
_cell_length_a 3.9214
_cell_length_b 3.9214
_cell_length_c 3.7822
_cell_angle_alpha 90.00
_cell_angle_beta 90.00
_cell_angle_gamma 90.00
_space_group_name_H-M_alt 'P 4/m m m'
_space_group_IT_number 123
_space_group_name_Hall '-P 4 2'
loop_
_atom_site_label
_atom_site_fract_x
_atom_site_fract_y
_atom_site_fract_z
Li1 0.0000 0.5000 0.0000
Ga1 0.0000 0.0000 0.5000
H1 0.5000 0.5000 0.0000
Pt1 0.5000 0.5000 0.5000

=====

# WAu8 (GGA-PBE, relaxed)
# Total magnetic moment, μB per atom: 0.072
# E_form, eV per atom: 0.22
# Uncorrected energy, eV per cell: -74.46
data_WAu8
_cell_length_a 10.6232
_cell_length_b 10.6232
_cell_length_c 2.8742
_cell_angle_alpha 90.00
_cell_angle_beta 90.00
_cell_angle_gamma 90.00
_space_group_name_H-M_alt 'I 4/m m m'
_space_group_IT_number 139
_space_group_name_Hall '-I 4 2'
loop_
_atom_site_label
_atom_site_fract_x
_atom_site_fract_y
_atom_site_fract_z
W1 0.0000 0.0000 0.0000
Au1 0.0000 0.3343 0.0000
Au2 0.1628 0.1628 0.5000

=====

# AcNdBiI (GGA-PBE, relaxed)
# Total magnetic moment, μB per atom: 0.000
# Energy relative to the elements, uncorrected, eV/atom: -0.889
# Uncorrected energy, eV per cell: -71.45
data_AcNdBiI
_cell_length_a 8.0983
_cell_length_b 8.0983
_cell_length_c 8.0983
_cell_angle_alpha 90.00
_cell_angle_beta 90.00
_cell_angle_gamma 90.00
_space_group_name_H-M_alt 'F -4 3 m'
_space_group_IT_number 216
_space_group_name_Hall 'F -4 2 3'
loop_
_atom_site_label
_atom_site_fract_x
_atom_site_fract_y
_atom_site_fract_z
Ac1 0.0000 0.0000 0.0000
Nd1 0.0000 0.0000 0.5000
Bi1 0.2500 0.2500 0.2500
I1 0.2500 0.2500 0.7500

=====

# Ac3Co4 (GGA-PBE, relaxed)
# Total magnetic moment, μB per atom: 0.414
# E_form, eV per atom: 0.01
# Uncorrected energy, eV per cell: -81.36
data_Ac3Co4
_cell_length_a 4.0473
_cell_length_b 4.3214
_cell_length_c 19.2458
_cell_angle_alpha 90.00
_cell_angle_beta 90.00
_cell_angle_gamma 90.00
_space_group_name_H-M_alt 'I m m m'
_space_group_IT_number 71
_space_group_name_Hall '-I 2 2'
loop_
_atom_site_label
_atom_site_fract_x
_atom_site_fract_y
_atom_site_fract_z
Ac1 0.0000 0.0000 0.0000
Ac2 0.0000 0.5000 0.3231
Co1 0.0000 0.0000 0.4374
Co2 0.0000 0.5000 0.1186